PBE-GGA ErZr3Ir2, optimized geometry; density = 10.68 g/cm3; total DFT energy (no corrections) = -8.697 eV per atom; V = 21.381 A^3/atom
1.0
4.533 0.000 0.000
0.000 6.849 0.000
0.000 0.000 8.264
Zr Ir Er
6 4 2
Direct
0.500 0.148 0.835
0.500 0.648 0.165
0.000 0.851 0.673
0.000 0.351 0.327
0.000 0.990 0.077
0.000 0.490 0.923
0.500 0.754 0.843
0.000 0.746 0.334
0.000 0.246 0.666
0.500 0.254 0.157
0.500 0.511 0.573
0.500 0.011 0.427